Below is a geometry-optimized CaPmH2 structure, with properties calculated at the PBE-GGA level. Values from VASP.

Raw total energy: -14.7 eV per cell

The structure in Quantum ESPRESSO input format:
```
&SYSTEM
  ibrav = 0, nat = 4, ntyp = 3
/
ATOMIC_SPECIES
Ca 40.08 Ca.upf
Pm 145.00 Pm.upf
H 1.01 H.upf
CELL_PARAMETERS angstrom
1.8178 1.0495 5.8731
-1.8178 1.0495 5.8731
0.0000 -2.0990 5.8731
ATOMIC_POSITIONS angstrom
Ca 0.0000 0.0000 0.0000
Pm 0.0000 0.0000 8.8096
H 0.0000 0.0000 4.2188
H 0.0000 0.0000 13.4004
```

---

Below is a geometry-optimized Ca2PmH structure, with properties calculated at the PBE-GGA level. Values from VASP.

Raw total energy: -12.0 eV per cell

The structure in Quantum ESPRESSO input format:
```
&SYSTEM
  ibrav = 0, nat = 4, ntyp = 3
/
ATOMIC_SPECIES
Ca 40.08 Ca.upf
Pm 145.00 Pm.upf
H 1.01 H.upf
CELL_PARAMETERS angstrom
1.7955 1.0366 9.9791
-1.7955 1.0366 9.9791
0.0000 -2.0732 9.9791
ATOMIC_POSITIONS angstrom
Ca 0.0000 0.0000 3.5048
Ca 0.0000 0.0000 26.4325
Pm 0.0000 0.0000 0.0000
H 0.0000 0.0000 14.9686
```

---

Energy above the lowest structure with this stoichiometry list, top to bottom, in meV per atom: 0.0, 0.0
Ρ list, top to bottom, in Mg/m³: 4.62, 3.37